{"formula": "Sc5Tl4Cu", "functional": "PBE", "state": "optimized geometry", "lattice": [[3.383, 0.000, 0.000], [0.000, 3.383, 0.000], [0.000, 0.000, 19.488]], "species": ["Sc", "Sc", "Sc", "Sc", "Sc", "Tl", "Tl", "Tl", "Tl", "Cu"], "fractional_positions": [[0.000, 0.000, 0.000], [0.000, 0.000, 0.211], [0.000, 0.000, 0.420], [0.000, 0.000, 0.580], [0.000, 0.000, 0.789], [0.500, 0.500, 0.106], [0.500, 0.500, 0.316], [0.500, 0.500, 0.684], [0.500, 0.500, 0.894], [0.500, 0.500, 0.500]], "magmom_total_mub_per_fu": 1.1, "energy_ev_per_atom": -4.793, "rho_kg_m3": 8235, "ef_ev_per_atom": -0.27}